[1]
# PBE Nd2HgIr, optimized geometry
data_Nd2HgIr
_chemical_formula_sum 'Nd2 Hg1 Ir1'
_cell_length_a 5.206
_cell_length_b 5.206
_cell_length_c 5.206
_cell_angle_alpha 60.00
_cell_angle_beta 60.00
_cell_angle_gamma 60.00
_space_group_name_H-M_alt 'P 1'
_space_group_IT_number 1
_space_group_name_Hall 'P 1'
loop_
_atom_site_label
_atom_site_type_symbol
_atom_site_fract_x
_atom_site_fract_y
_atom_site_fract_z
_atom_site_occupancy
Hg1 Hg 0.000 0.000 0.000 1
Nd1 Nd 0.750 0.750 0.750 1
Ir1 Ir 0.500 0.500 0.500 1
Nd2 Nd 0.250 0.250 0.250 1
# Total magnetic moment ... 0.0 μB/cell
# ΔE_f ... -0.494 eV per atom

[2]
# PBE Tl2CoBr, optimized geometry
data_Tl2CoBr
_chemical_formula_sum 'Tl2 Co1 Br1'
_cell_length_a 3.448
_cell_length_b 3.448
_cell_length_c 9.410
_cell_angle_alpha 90.00
_cell_angle_beta 90.00
_cell_angle_gamma 112.48
_space_group_name_H-M_alt 'P 1'
_space_group_IT_number 1
_space_group_name_Hall 'P 1'
loop_
_atom_site_label
_atom_site_type_symbol
_atom_site_fract_x
_atom_site_fract_y
_atom_site_fract_z
_atom_site_occupancy
Tl1 Tl 0.500 0.500 0.241 1
Co1 Co 0.500 0.500 0.733 1
Br1 Br 0.000 0.000 0.577 1
Tl2 Tl 0.000 0.000 0.948 1
# Total magnetic moment ... 2.0 μB/cell
# E_form (uncorrected) ... 0.2377 eV/atom